CsPrEr: optimized geometry, PBE.

Cell lengths 6.1035, 6.1035, 6.1035 Å; angles 60.00, 60.00, 60.00 degrees
With the nearest neighbours (Å) after each atom.
Sites, in units of the cell vectors:
Cs1 0.2500 0.2500 0.2500  4 Er 3.74
Er1 0.0000 0.0000 0.0000  4 Pr 3.74, 4 Cs 3.74
Pr1 0.7500 0.7500 0.7500  4 Er 3.74

## Properties
ΔE to the lowest computed polymorph: 0.00 eV/f.u.